[1]
Density functional theory data (PBE) for a relaxed structure of Y4AlZn2In.

Unit cell a=5.145 b=5.145 c=8.925 alpha=73.25 beta=73.25 gamma=60.00
Sites, in units of the cell vectors:
Y 0.378 0.378 0.866
Y 0.872 0.872 0.383
Y 0.128 0.128 0.617
Y 0.622 0.622 0.134
Al 0.500 0.500 0.500
Zn 0.750 0.750 0.749
Zn 0.250 0.250 0.251
In 0.000 0.000 0.000

As for the symmetry: R-3m. As for the volume: 193 Å³ per cell. Its formation energy is -0.42 eV/atom.



[2]
Density functional theory data (PBE) for a relaxed structure of YZrAlIn.

Unit cell a=5.066 b=5.066 c=5.066 alpha=60.00 beta=60.00 gamma=60.00
Sites, in units of the cell vectors:
Y 0.750 0.750 0.750
Al 0.500 0.500 0.500
Zr 0.250 0.250 0.250
In 0.000 0.000 0.000

As for the symmetry: F-43m. As for the volume: 92 Å³ per cell. Its formation energy is -0.27 eV/atom.



[3]
Density functional theory data (PBE) for a relaxed structure of AlZnIn.

Unit cell a=6.495 b=6.495 c=3.104 alpha=76.17 beta=76.17 gamma=27.65
Sites, in units of the cell vectors:
Zn 0.349 0.349 0.651
Al 0.984 0.984 0.016
In 0.667 0.667 0.333

As for the symmetry: I4mm. As for the volume: 59 Å³ per cell. Its formation energy is 0.11 eV/atom.